# 1
## YTl2Cl (PBE)

Data for a geometry-optimized YTl2Cl structure.

Summary:
The calculation puts the final energy at -3.88 eV per atom. The size of the total moment is 0.00 μB/cell. The value obtained for the formation energy (no corrections) is -59.3 kJ per mole of atoms. As for the density of states at the Fermi level: 4.8 states/eV/cell. As for the offset from the most stable computed form: 130 meV/atom.

```
data_YTl2Cl
_chemical_formula_sum 'Y2 Tl4 Cl2'
_space_group_name_H-M_alt 'I m m m'
_space_group_IT_number 71
_space_group_name_Hall '-I 2 2'
_cell_length_a 3.399
_cell_length_b 4.502
_cell_length_c 15.094
_cell_angle_alpha 90.00
_cell_angle_beta 90.00
_cell_angle_gamma 90.00
loop_
_atom_site_label
_atom_site_type_symbol
_atom_site_fract_x
_atom_site_fract_y
_atom_site_fract_z
_atom_site_occupancy
Y1 Y 0.000 0.000 0.000 1
Tl1 Tl 0.000 0.500 0.308 1
Cl1 Cl 0.000 0.000 0.500 1
```

# 2
## Na5Tl5Pb (PBE)

Data for a geometry-optimized Na5Tl5Pb structure.

Summary:
The calculation puts the final energy at -2.01 eV per atom. The size of the total moment is 0.00 μB/cell. The value obtained for the formation energy is 0.00 eV per atom. As for the density of states at the Fermi level: 4.9 states/eV/cell.

```
data_Na5Tl5Pb
_chemical_formula_sum 'Na5 Tl5 Pb1'
_space_group_name_H-M_alt 'P -6 m 2'
_space_group_IT_number 187
_space_group_name_Hall 'P -6 2'
_cell_length_a 6.1342
_cell_length_b 6.1342
_cell_length_c 11.1198
_cell_angle_alpha 90.00
_cell_angle_beta 90.00
_cell_angle_gamma 120.00
loop_
_atom_site_label
_atom_site_type_symbol
_atom_site_fract_x
_atom_site_fract_y
_atom_site_fract_z
_atom_site_occupancy
Na1 Na 0.0000 0.0000 0.0000 1
Na2 Na 0.3333 0.6667 0.3151 1
Na3 Na 0.6667 0.3333 0.1696 1
Tl1 Tl 0.0000 0.0000 0.2584 1
Tl2 Tl 0.3402 0.1701 0.5000 1
Pb1 Pb 0.3333 0.6667 0.0000 1
```

# 3
## RbHgBr2F (PBE)

Data for a geometry-optimized RbHgBr2F structure.

Summary:
The calculation puts the final energy at -2.56 eV per atom. The size of the total moment is 0.00 μB/cell. The value obtained for the formation energy (no corrections) is -121.6 kJ per mole of atoms. As for the density of states at the Fermi level: 1.1 states/eV/cell. As for the offset from the most stable computed form: 74 meV/atom.

```
data_RbHgBr2F
_chemical_formula_sum 'Rb1 Hg1 Br2 F1'
_space_group_name_H-M_alt 'P 4/m m m'
_space_group_IT_number 123
_space_group_name_Hall '-P 4 2'
_cell_length_a 5.675
_cell_length_b 5.675
_cell_length_c 4.625
_cell_angle_alpha 90.00
_cell_angle_beta 90.00
_cell_angle_gamma 90.00
loop_
_atom_site_label
_atom_site_type_symbol
_atom_site_fract_x
_atom_site_fract_y
_atom_site_fract_z
_atom_site_occupancy
Rb1 Rb 0.000 0.000 0.000 1
Hg1 Hg 0.500 0.500 0.500 1
Br1 Br 0.000 0.500 0.500 1
F1 F 0.500 0.500 0.000 1
```

Number 1 is which compound? YTl2Cl

What is the formula in the third record? RbHgBr2F

Which formula does entry 3 have? RbHgBr2F